Compound: AlCdW3
Source: Alexandria
Functional: PBE
Structure: optimized geometry

a = 4.829 Å, b = 4.829 Å, c = 4.829 Å
α = 90.00°, β = 90.00°, γ = 90.00°
Element x y z (fractional)
W  0.000  0.000  0.500
W  0.000  0.500  0.000
W  0.500  0.000  0.000
Cd  0.000  0.000  0.000
Al  0.500  0.500  0.500

Properties
The distance to the lowest polymorph of the same formula is 5.478 eV per formula unit. For the formation energy, the calculation gives 2.922 eV per atom. Its total energy is -5.78 eV/atom. As for the total magnetization: 0.00 μB/f.u.

***

Compound: V5ZnW4
Source: Alexandria
Functional: PBE
Structure: optimized geometry

a = 3.108 Å, b = 3.108 Å, c = 15.051 Å
α = 90.00°, β = 90.00°, γ = 90.00°
Element x y z (fractional)
V  0.500  0.500  0.500
V  0.500  0.500  0.902
V  0.500  0.500  0.704
V  0.500  0.500  0.296
V  0.500  0.500  0.098
W  0.000  0.000  0.194
W  0.000  0.000  0.399
W  0.000  0.000  0.601
W  0.000  0.000  0.806
Zn  0.000  0.000  0.000

Properties
For the formation energy, the calculation gives -0.042 eV per atom. Its total energy is -9.91 eV/atom. As for the total magnetization: 0.00 μB/f.u.

***

Compound: AcCe3
Source: Alexandria
Functional: PBE
Structure: optimized geometry

a = 4.970 Å, b = 4.970 Å, c = 6.069 Å
α = 114.17°, β = 114.17°, γ = 90.00°
Element x y z (fractional)
Ce  0.250  0.750  0.500
Ce  0.750  0.250  0.500
Ce  0.500  0.500  0.000
Ac  0.000  0.000  0.000

Properties
For the formation energy, the calculation gives 0.153 eV per atom. Its total energy is -5.32 eV/atom. As for the total magnetization: 0.00 μB/f.u.

***

Compound: Ca3MgAg8
Source: Alexandria
Functional: PBE
Structure: optimized geometry

a = 5.716 Å, b = 5.716 Å, c = 9.866 Å
α = 73.16°, β = 73.16°, γ = 60.00°
Element x y z (fractional)
Ag  0.188  0.188  0.436
Ag  0.938  0.938  0.684
Ag  0.688  0.688  0.937
Ag  0.436  0.436  0.189
Ag  0.938  0.439  0.684
Ag  0.436  0.938  0.189
Ag  0.439  0.938  0.684
Ag  0.938  0.436  0.189
Ca  0.506  0.506  0.483
Ca  0.993  0.993  0.020
Ca  0.376  0.376  0.871
Mg  0.872  0.872  0.384

Properties
For the formation energy, the calculation gives -0.226 eV per atom. Its total energy is -2.76 eV/atom. As for the total magnetization: 0.00 μB/f.u.

***

Compound: As2OsPt
Source: Alexandria
Functional: PBE
Structure: optimized geometry

a = 4.383 Å, b = 4.383 Å, c = 5.169 Å
α = 79.48°, β = 79.48°, γ = 40.86°
Element x y z (fractional)
As  0.487  0.487  0.516
As  0.013  0.013  0.984
Pt  0.250  0.250  0.250
Os  0.750  0.750  0.750

Properties
The distance to the lowest polymorph of the same formula is 0.378 eV per formula unit. For the formation energy, the calculation gives 0.191 eV per atom. Its total energy is -6.45 eV/atom. As for the total magnetization: 0.00 μB/f.u.

***

Compound: Ca2MgAl3Zn4
Source: Alexandria
Functional: PBE
Structure: optimized geometry

a = 4.306 Å, b = 4.306 Å, c = 11.078 Å
α = 90.00°, β = 90.00°, γ = 90.00°
Element x y z (fractional)
Zn  0.000  0.000  0.000
Zn  0.500  0.500  0.000
Zn  0.000  0.500  0.357
Zn  0.500  0.000  0.643
Ca  0.500  0.000  0.239
Ca  0.000  0.500  0.761
Al  0.000  0.000  0.500
Al  0.500  0.000  0.870
Al  0.000  0.500  0.130
Mg  0.500  0.500  0.500

Properties
For the formation energy, the calculation gives -0.219 eV per atom. Its total energy is -2.41 eV/atom. As for the total magnetization: 0.00 μB/f.u.

***

Compound: La4Pm2NdEr2
Source: Alexandria
Functional: PBE
Structure: optimized geometry

a = 5.209 Å, b = 8.202 Å, c = 8.149 Å
α = 107.33°, β = 90.00°, γ = 108.52°
Element x y z (fractional)
Er  0.332  0.663  0.001
Er  0.668  0.337  0.999
Nd  0.000  0.000  0.000
Pm  0.112  0.224  0.670
Pm  0.888  0.776  0.330
La  0.554  0.109  0.329
La  0.224  0.447  0.330
La  0.776  0.553  0.670
La  0.446  0.891  0.671

Properties
For the formation energy, the calculation gives 0.024 eV per atom. Its total energy is -4.77 eV/atom. As for the total magnetization: 0.00 μB/f.u.

***

Compound: AlIrCl
Source: Alexandria
Functional: PBE
Structure: optimized geometry

a = 7.808 Å, b = 7.548 Å, c = 2.983 Å
α = 83.74°, β = 73.93°, γ = 22.32°
Element x y z (fractional)
Al  0.000  0.000  0.000
Ir  0.620  0.620  0.380
Cl  0.380  0.380  0.620

Properties
The formation energy (no corrections) is -55 kJ/mol of formula units. The distance to the lowest polymorph of the same formula is 0.663 eV per formula unit. Its total energy is -5.01 eV/atom. As for the total magnetization: 0.05 μB/f.u.

***

Compound: Mn2Hg3
Source: Alexandria
Functional: PBE
Structure: optimized geometry

a = 11.607 Å, b = 11.607 Å, c = 11.607 Å
α = 15.74°, β = 15.74°, γ = 15.74°
Element x y z (fractional)
Mn  0.603  0.603  0.603
Mn  0.397  0.397  0.397
Hg  0.794  0.794  0.794
Hg  0.206  0.206  0.206
Hg  0.000  0.000  0.000

Properties
The distance to the lowest polymorph of the same formula is 0.184 eV per formula unit. For the formation energy, the calculation gives 0.346 eV per atom. Its total energy is -3.50 eV/atom. As for the total magnetization: 7.71 μB/f.u.

***

Compound: LaTm3Co2
Source: Alexandria
Functional: PBE
Structure: optimized geometry

a = 3.740 Å, b = 8.445 Å, c = 9.877 Å
α = 79.47°, β = 79.09°, γ = 77.21°
Element x y z (fractional)
Co  0.762  0.420  0.057
Co  0.767  0.921  0.546
Co  0.233  0.079  0.454
Co  0.238  0.580  0.943
Tm  0.413  0.740  0.435
Tm  0.587  0.260  0.565
Tm  0.155  0.938  0.751
Tm  0.845  0.062  0.249
Tm  0.417  0.217  0.949
Tm  0.583  0.783  0.051
La  0.843  0.566  0.748
La  0.157  0.434  0.252

Properties
For the formation energy, the calculation gives -0.151 eV per atom. Its total energy is -5.58 eV/atom. As for the total magnetization: 0.00 μB/f.u.

***

Compound: Mg3InMo
Source: Alexandria
Functional: PBE
Structure: optimized geometry

a = 5.266 Å, b = 5.266 Å, c = 5.266 Å
α = 90.00°, β = 90.00°, γ = 90.00°
Element x y z (fractional)
Mg  0.000  0.500  0.000
Mg  0.500  0.000  0.000
Mg  0.000  0.000  0.500
Mo  0.500  0.500  0.500
In  0.000  0.000  0.000

Properties
The distance to the lowest polymorph of the same formula is 0.820 eV per formula unit. For the formation energy, the calculation gives 1.124 eV per atom. Its total energy is -2.55 eV/atom. As for the total magnetization: 4.89 μB/f.u.

***

Compound: NbCd2Ni
Source: Alexandria
Functional: PBE
Structure: optimized geometry

a = 4.625 Å, b = 4.625 Å, c = 4.625 Å
α = 60.00°, β = 60.00°, γ = 60.00°
Element x y z (fractional)
Cd  0.250  0.250  0.250
Cd  0.750  0.750  0.750
Ni  0.000  0.000  0.000
Nb  0.500  0.500  0.500

Properties
The distance to the lowest polymorph of the same formula is 0.000 eV per formula unit. For the formation energy, the calculation gives 0.383 eV per atom. Its total energy is -4.04 eV/atom. As for the total magnetization: 0.00 μB/f.u.

***

Compound: TlAuSe3
Source: Alexandria
Functional: PBE
Structure: optimized geometry

a = 5.202 Å, b = 5.202 Å, c = 5.202 Å
α = 90.00°, β = 90.00°, γ = 90.00°
Element x y z (fractional)
Au  0.000  0.000  0.000
Se  0.000  0.000  0.500
Se  0.500  0.000  0.000
Se  0.000  0.500  0.000
Tl  0.500  0.500  0.500

Properties
The formation energy (no corrections) is 126 kJ/mol of formula units. The distance to the lowest polymorph of the same formula is 2.063 eV per formula unit. Its total energy is -2.96 eV/atom. As for the total magnetization: 0.00 μB/f.u.

***

Compound: Ta2Mo2W3
Source: Alexandria
Functional: PBE
Structure: optimized geometry

a = 4.535 Å, b = 5.325 Å, c = 5.328 Å
α = 95.41°, β = 90.00°, γ = 115.20°
Element x y z (fractional)
W  0.000  0.000  0.000
W  0.284  0.568  0.148
W  0.716  0.432  0.852
Mo  0.142  0.283  0.575
Mo  0.858  0.717  0.425
Ta  0.427  0.853  0.718
Ta  0.573  0.147  0.282

Properties
The distance to the lowest polymorph of the same formula is 0.124 eV per formula unit. For the formation energy, the calculation gives -0.115 eV per atom. Its total energy is -12.15 eV/atom. As for the total magnetization: 0.00 μB/f.u.

***

Compound: Pm5Sn5Hg2
Source: Alexandria
Functional: PBE
Structure: optimized geometry

a = 4.539 Å, b = 7.467 Å, c = 12.982 Å
α = 121.96°, β = 90.00°, γ = 107.70°
Element x y z (fractional)
Pm  0.352  0.704  0.714
Pm  0.349  0.698  0.009
Pm  0.651  0.302  0.991
Pm  0.500  0.000  0.500
Pm  0.648  0.296  0.286
Sn  0.131  0.263  0.451
Sn  0.273  0.546  0.212
Sn  0.000  0.000  0.000
Sn  0.727  0.454  0.788
Sn  0.869  0.737  0.549
Hg  0.919  0.839  0.216
Hg  0.081  0.161  0.784

Properties
The distance to the lowest polymorph of the same formula is 1.337 eV per formula unit. For the formation energy, the calculation gives -0.508 eV per atom. Its total energy is -4.21 eV/atom. As for the total magnetization: 0.00 μB/f.u.

***

Compound: TbEr4Mg4
Source: Alexandria
Functional: PBE
Structure: optimized geometry

a = 6.895 Å, b = 6.895 Å, c = 11.396 Å
α = 90.00°, β = 90.00°, γ = 90.00°
Element x y z (fractional)
Er  0.500  0.224  0.069
Er  0.000  0.276  0.431
Er  0.276  0.000  0.569
Er  0.500  0.776  0.069
Er  0.724  0.000  0.569
Er  0.000  0.724  0.431
Er  0.776  0.500  0.931
Er  0.224  0.500  0.931
Mg  0.725  0.000  0.279
Mg  0.775  0.500  0.221
Mg  0.500  0.225  0.779
Mg  0.500  0.775  0.779
Mg  0.000  0.275  0.721
Mg  0.275  0.000  0.279
Mg  0.000  0.725  0.721
Mg  0.225  0.500  0.221
Tb  0.000  0.000  0.000
Tb  0.500  0.500  0.500

Properties
For the formation energy, the calculation gives 0.261 eV per atom. Its total energy is -2.99 eV/atom. As for the total magnetization: 0.00 μB/f.u.

***

Compound: LaCu2Ir
Source: Alexandria
Functional: PBE
Structure: optimized geometry

a = 4.515 Å, b = 3.152 Å, c = 5.347 Å
α = 75.53°, β = 90.00°, γ = 90.00°
Element x y z (fractional)
La  0.500  0.750  0.750
Ir  0.500  0.250  0.250
Cu  0.000  0.423  0.442
Cu  0.000  0.077  0.058

Properties
The distance to the lowest polymorph of the same formula is 0.944 eV per formula unit. For the formation energy, the calculation gives -0.040 eV per atom. Its total energy is -5.53 eV/atom. As for the total magnetization: 0.00 μB/f.u.

***

Compound: Mg2SiSnO
Source: Alexandria
Functional: PBE
Structure: optimized geometry

a = 5.468 Å, b = 3.458 Å, c = 5.468 Å
α = 90.00°, β = 90.00°, γ = 90.00°
Element x y z (fractional)
Si  0.000  0.000  0.000
Sn  0.500  0.500  0.500
O  0.000  0.500  0.000
Mg  0.000  0.000  0.500
Mg  0.500  0.000  0.000

Properties
The formation energy (no corrections) is -143 kJ/mol of formula units. Its total energy is -3.81 eV/atom. As for the total magnetization: 0.00 μB/f.u.

***

Compound: Li2ScW
Source: Alexandria
Functional: PBE
Structure: optimized geometry

a = 3.758 Å, b = 3.758 Å, c = 10.973 Å
α = 80.14°, β = 80.14°, γ = 90.00°
Element x y z (fractional)
Li  0.650  0.125  0.250
Li  0.375  0.350  0.750
Li  0.875  0.900  0.750
Li  0.100  0.625  0.250
W  0.000  0.000  0.000
W  0.750  0.250  0.500
Sc  0.250  0.750  0.500
Sc  0.500  0.500  0.000

Properties
The distance to the lowest polymorph of the same formula is 2.099 eV per formula unit. For the formation energy, the calculation gives 0.799 eV per atom. Its total energy is -4.98 eV/atom. As for the total magnetization: 0.00 μB/f.u.

***

Compound: HoLu2Cd
Source: Alexandria
Functional: PBE
Structure: optimized geometry

a = 4.774 Å, b = 4.779 Å, c = 4.779 Å
α = 90.00°, β = 90.00°, γ = 90.00°
Element x y z (fractional)
Lu  0.000  0.500  0.000
Lu  0.000  0.000  0.500
Cd  0.500  0.000  0.000
Ho  0.500  0.500  0.500

Properties
The distance to the lowest polymorph of the same formula is 0.239 eV per formula unit. For the formation energy, the calculation gives -0.084 eV per atom. Its total energy is -3.72 eV/atom. As for the total magnetization: 0.00 μB/f.u.